A relaxed structure of GaBiPt2. Source: Alexandria via LeMat-Bulk, functional PBE.

abc: 6.7145 6.7145 6.7145
angles: 90.00 90.00 90.00
Space group Fm-3m (No. 225)
One atom of each set of equivalent atoms:
Ga1 0.0000 0.0000 0.0000 (multiplicity 4)
Bi1 0.0000 0.0000 0.5000 (multiplicity 4)
Pt1 0.2500 0.2500 0.2500 (multiplicity 8)

## Properties
DFT total energy	-77.7	eV for the cell shown
total moment	0.000	μB/cell
energy relative to the elements	-0.11	eV per atom